A plane-wave DFT calculation with PBE with a Hubbard U was carried out for an optimized crystal structure of Mn2InF.

Structure (CIF):
```
data_Mn2InF
_cell_length_a 6.850
_cell_length_b 6.850
_cell_length_c 6.785
_cell_angle_alpha 90.00
_cell_angle_beta 90.00
_cell_angle_gamma 90.00
_symmetry_space_group_name_H-M 'I -4 2 d'
_symmetry_Int_Tables_number 122
_symmetry_space_group_name_Hall 'I -4 2bw'
loop_
_atom_site_label
_atom_site_type_symbol
_atom_site_fract_x
_atom_site_fract_y
_atom_site_fract_z
Mn1 Mn 0.169 0.750 0.125
In1 In 0.000 0.000 0.500
F1 F 0.000 0.000 0.000
```

E_tot = -0.196 hartree per atom
ρ = 5.08 Mg/m³
spin magnetization = 9.4 μB/f.u.

=====

A plane-wave DFT calculation with PBE with a Hubbard U was carried out for an optimized crystal structure of Mn2InF.

Structure (CIF):
```
data_Mn2InF
_cell_length_a 6.715
_cell_length_b 6.715
_cell_length_c 6.715
_cell_angle_alpha 90.00
_cell_angle_beta 90.00
_cell_angle_gamma 90.00
_symmetry_space_group_name_H-M 'F m -3 m'
_symmetry_Int_Tables_number 225
_symmetry_space_group_name_Hall '-F 4 2 3'
loop_
_atom_site_label
_atom_site_type_symbol
_atom_site_fract_x
_atom_site_fract_y
_atom_site_fract_z
Mn1 Mn 0.250 0.250 0.250
In1 In 0.000 0.000 0.000
F1 F 0.000 0.000 0.500
```

E_tot = -0.186 hartree per atom
ρ = 5.35 Mg/m³
spin magnetization = 8.6 μB/f.u.

=====

A plane-wave DFT calculation with PBE with a Hubbard U was carried out for an optimized crystal structure of MnIn2F5.

Structure (CIF):
```
data_MnIn2F5
_cell_length_a 8.272
_cell_length_b 11.720
_cell_length_c 5.924
_cell_angle_alpha 90.00
_cell_angle_beta 90.00
_cell_angle_gamma 90.00
_symmetry_space_group_name_H-M 'P b c n'
_symmetry_Int_Tables_number 60
_symmetry_space_group_name_Hall '-P 2n 2ab'
loop_
_atom_site_label
_atom_site_type_symbol
_atom_site_fract_x
_atom_site_fract_y
_atom_site_fract_z
Mn1 Mn 0.000 0.064 0.250
In1 In 0.116 0.350 0.553
F1 F 0.000 0.432 0.250
F2 F 0.141 0.058 0.945
F3 F 0.168 0.197 0.334
```

E_tot = -0.183 hartree per atom
ρ = 4.39 Mg/m³
spin magnetization = 4.9 μB/f.u.

=====

A plane-wave DFT calculation with PBE with a Hubbard U was carried out for an optimized crystal structure of Mn5In3F12.

Structure (CIF):
```
data_Mn5In3F12
_cell_length_a 14.167
_cell_length_b 14.167
_cell_length_c 14.167
_cell_angle_alpha 90.00
_cell_angle_beta 90.00
_cell_angle_gamma 90.00
_symmetry_space_group_name_H-M 'I a -3 d'
_symmetry_Int_Tables_number 230
_symmetry_space_group_name_Hall '-I 4bd 2c 3'
loop_
_atom_site_label
_atom_site_type_symbol
_atom_site_fract_x
_atom_site_fract_y
_atom_site_fract_z
Mn1 Mn 0.000 0.000 0.000
Mn2 Mn 0.000 0.250 0.375
In1 In 0.000 0.250 0.125
F1 F 0.037 0.044 0.642
```

E_tot = -0.205 hartree per atom
ρ = 3.96 Mg/m³
spin magnetization = 25.9 μB/f.u.

=====

A plane-wave DFT calculation with PBE with a Hubbard U was carried out for an optimized crystal structure of MnInF3.

Structure (CIF):
```
data_MnInF3
_cell_length_a 4.304
_cell_length_b 4.304
_cell_length_c 4.304
_cell_angle_alpha 90.00
_cell_angle_beta 90.00
_cell_angle_gamma 90.00
_symmetry_space_group_name_H-M 'P m -3 m'
_symmetry_Int_Tables_number 221
_symmetry_space_group_name_Hall '-P 4 2 3'
loop_
_atom_site_label
_atom_site_type_symbol
_atom_site_fract_x
_atom_site_fract_y
_atom_site_fract_z
Mn1 Mn 0.000 0.000 0.000
In1 In 0.500 0.500 0.500
F1 F 0.000 0.000 0.500
```

E_tot = -0.199 hartree per atom
ρ = 4.72 Mg/m³
spin magnetization = 5.0 μB/f.u.

=====

A plane-wave DFT calculation with PBE with a Hubbard U was carried out for an optimized crystal structure of MnIn2F4.

Structure (CIF):
```
data_MnIn2F4
_cell_length_a 4.280
_cell_length_b 4.280
_cell_length_c 13.798
_cell_angle_alpha 90.00
_cell_angle_beta 90.00
_cell_angle_gamma 90.00
_symmetry_space_group_name_H-M 'I 4/m m m'
_symmetry_Int_Tables_number 139
_symmetry_space_group_name_Hall '-I 4 2'
loop_
_atom_site_label
_atom_site_type_symbol
_atom_site_fract_x
_atom_site_fract_y
_atom_site_fract_z
Mn1 Mn 0.000 0.000 0.000
In1 In 0.000 0.000 0.347
F1 F 0.000 0.000 0.156
F2 F 0.000 0.500 0.000
```

E_tot = -0.183 hartree per atom
ρ = 4.74 Mg/m³
spin magnetization = 5.0 μB/f.u.

=====

A plane-wave DFT calculation with PBE with a Hubbard U was carried out for an optimized crystal structure of Mn2InF8.

Structure (CIF):
```
data_Mn2InF8
_cell_length_a 6.6427
_cell_length_b 6.6427
_cell_length_c 4.0191
_cell_angle_alpha 90.00
_cell_angle_beta 90.00
_cell_angle_gamma 120.00
_symmetry_space_group_name_H-M 'P -3'
_symmetry_Int_Tables_number 147
_symmetry_space_group_name_Hall '-P 3'
loop_
_atom_site_label
_atom_site_type_symbol
_atom_site_fract_x
_atom_site_fract_y
_atom_site_fract_z
Mn1 Mn 0.3333 0.6667 0.2515
In1 In 0.0000 0.0000 0.5000
F1 F 0.1597 0.3213 0.2459
F2 F 0.3333 0.6667 0.7507
```

E_tot = -0.199 hartree per atom
ρ = 4.07 Mg/m³
spin magnetization = 9.0 μB/f.u.

=====

A plane-wave DFT calculation with PBE with a Hubbard U was carried out for an optimized crystal structure of MnInF3.

Structure (CIF):
```
data_MnInF3
_cell_length_a 11.270
_cell_length_b 4.214
_cell_length_c 7.554
_cell_angle_alpha 90.00
_cell_angle_beta 98.30
_cell_angle_gamma 90.00
_symmetry_space_group_name_H-M 'C 1 2/m 1'
_symmetry_Int_Tables_number 12
_symmetry_space_group_name_Hall '-C 2y'
loop_
_atom_site_label
_atom_site_type_symbol
_atom_site_fract_x
_atom_site_fract_y
_atom_site_fract_z
Mn1 Mn 0.134 0.000 0.419
In1 In 0.117 0.500 0.881
F1 F 0.058 0.000 0.668
F2 F 0.172 0.500 0.461
F3 F 0.178 0.000 0.159
```

E_tot = -0.199 hartree per atom
ρ = 4.24 Mg/m³
spin magnetization = 5.0 μB/f.u.

=====

A plane-wave DFT calculation with PBE with a Hubbard U was carried out for an optimized crystal structure of Mn4InF12.

Structure (CIF):
```
data_Mn4InF12
_cell_length_a 7.659
_cell_length_b 8.211
_cell_length_c 8.222
_cell_angle_alpha 90.00
_cell_angle_beta 90.00
_cell_angle_gamma 90.00
_symmetry_space_group_name_H-M 'I m m m'
_symmetry_Int_Tables_number 71
_symmetry_space_group_name_Hall '-I 2 2'
loop_
_atom_site_label
_atom_site_type_symbol
_atom_site_fract_x
_atom_site_fract_y
_atom_site_fract_z
Mn1 Mn 0.250 0.250 0.250
In1 In 0.000 0.000 0.000
F1 F 0.000 0.298 0.297
F2 F 0.173 0.000 0.223
F3 F 0.174 0.222 0.000
```

E_tot = -0.212 hartree per atom
ρ = 3.61 Mg/m³
spin magnetization = 19.0 μB/f.u.

=====

A plane-wave DFT calculation with PBE with a Hubbard U was carried out for an optimized crystal structure of MnIn3F.

Structure (CIF):
```
data_MnIn3F
_cell_length_a 5.339
_cell_length_b 5.339
_cell_length_c 5.339
_cell_angle_alpha 90.00
_cell_angle_beta 90.00
_cell_angle_gamma 90.00
_symmetry_space_group_name_H-M 'P m -3 m'
_symmetry_Int_Tables_number 221
_symmetry_space_group_name_Hall '-P 4 2 3'
loop_
_atom_site_label
_atom_site_type_symbol
_atom_site_fract_x
_atom_site_fract_y
_atom_site_fract_z
Mn1 Mn 0.000 0.000 0.000
In1 In 0.000 0.000 0.500
F1 F 0.500 0.500 0.500
```

E_tot = -0.126 hartree per atom
ρ = 4.57 Mg/m³
spin magnetization = 3.3 μB/f.u.

=====

A plane-wave DFT calculation with PBE with a Hubbard U was carried out for an optimized crystal structure of MnIn3F.

Structure (CIF):
```
data_MnIn3F
_cell_length_a 4.981
_cell_length_b 4.981
_cell_length_c 4.981
_cell_angle_alpha 90.00
_cell_angle_beta 90.00
_cell_angle_gamma 90.00
_symmetry_space_group_name_H-M 'P m -3 m'
_symmetry_Int_Tables_number 221
_symmetry_space_group_name_Hall '-P 4 2 3'
loop_
_atom_site_label
_atom_site_type_symbol
_atom_site_fract_x
_atom_site_fract_y
_atom_site_fract_z
Mn1 Mn 0.000 0.000 0.000
In1 In 0.000 0.500 0.500
F1 F 0.500 0.500 0.500
```

E_tot = -0.139 hartree per atom
ρ = 5.62 Mg/m³
spin magnetization = 4.6 μB/f.u.

=====

A plane-wave DFT calculation with PBE with a Hubbard U was carried out for an optimized crystal structure of MnIn2F6.

Structure (CIF):
```
data_MnIn2F6
_cell_length_a 9.510
_cell_length_b 11.831
_cell_length_c 5.005
_cell_angle_alpha 90.00
_cell_angle_beta 114.03
_cell_angle_gamma 90.00
_symmetry_space_group_name_H-M 'C 1 2/c 1'
_symmetry_Int_Tables_number 15
_symmetry_space_group_name_Hall '-C 2yc'
loop_
_atom_site_label
_atom_site_type_symbol
_atom_site_fract_x
_atom_site_fract_y
_atom_site_fract_z
Mn1 Mn 0.000 0.095 0.250
In1 In 0.143 0.381 0.993
F1 F 0.123 0.064 0.702
F2 F 0.143 0.432 0.415
F3 F 0.164 0.203 0.159
```

E_tot = -0.183 hartree per atom
ρ = 5.15 Mg/m³
spin magnetization = 5.0 μB/f.u.

=====

A plane-wave DFT calculation with PBE with a Hubbard U was carried out for an optimized crystal structure of MnInF3.

Structure (CIF):
```
data_MnInF3
_cell_length_a 4.151
_cell_length_b 13.825
_cell_length_c 6.792
_cell_angle_alpha 90.00
_cell_angle_beta 90.00
_cell_angle_gamma 90.00
_symmetry_space_group_name_H-M 'A m a 2'
_symmetry_Int_Tables_number 40
_symmetry_space_group_name_Hall 'A 2 -2a'
loop_
_atom_site_label
_atom_site_type_symbol
_atom_site_fract_x
_atom_site_fract_y
_atom_site_fract_z
Mn1 Mn 0.250 0.097 0.000
In1 In 0.250 0.370 0.002
F1 F 0.250 0.112 0.298
F2 F 0.250 0.221 0.844
F3 F 0.250 0.440 0.478
```

E_tot = -0.197 hartree per atom
ρ = 3.86 Mg/m³
spin magnetization = 5.0 μB/f.u.

=====

A plane-wave DFT calculation with PBE with a Hubbard U was carried out for an optimized crystal structure of MnInF3.

Structure (CIF):
```
data_MnInF3
_cell_length_a 4.499
_cell_length_b 4.499
_cell_length_c 4.499
_cell_angle_alpha 90.00
_cell_angle_beta 90.00
_cell_angle_gamma 90.00
_symmetry_space_group_name_H-M 'P m -3 m'
_symmetry_Int_Tables_number 221
_symmetry_space_group_name_Hall '-P 4 2 3'
loop_
_atom_site_label
_atom_site_type_symbol
_atom_site_fract_x
_atom_site_fract_y
_atom_site_fract_z
Mn1 Mn 0.000 0.000 0.000
In1 In 0.500 0.500 0.500
F1 F 0.000 0.500 0.500
```

E_tot = -0.174 hartree per atom
ρ = 4.13 Mg/m³
spin magnetization = 5.7 μB/f.u.

=====

A plane-wave DFT calculation with PBE with a Hubbard U was carried out for an optimized crystal structure of Mn2InF6.

Structure (CIF):
```
data_Mn2InF6
_cell_length_a 5.095
_cell_length_b 5.095
_cell_length_c 10.364
_cell_angle_alpha 90.00
_cell_angle_beta 90.00
_cell_angle_gamma 90.00
_symmetry_space_group_name_H-M 'P 42/m n m'
_symmetry_Int_Tables_number 136
_symmetry_space_group_name_Hall '-P 4n 2n'
loop_
_atom_site_label
_atom_site_type_symbol
_atom_site_fract_x
_atom_site_fract_y
_atom_site_fract_z
Mn1 Mn 0.000 0.000 0.167
In1 In 0.000 0.000 0.500
F1 F 0.183 0.183 0.000
F2 F 0.202 0.202 0.323
```

E_tot = -0.208 hartree per atom
ρ = 4.18 Mg/m³
spin magnetization = 9.5 μB/f.u.

=====

A plane-wave DFT calculation with PBE with a Hubbard U was carried out for an optimized crystal structure of MnInMoF6.

Structure (CIF):
```
data_MnInMoF6
_cell_length_a 5.7667
_cell_length_b 5.7667
_cell_length_c 11.6213
_cell_angle_alpha 90.00
_cell_angle_beta 90.00
_cell_angle_gamma 120.00
_symmetry_space_group_name_H-M 'P -3 1 c'
_symmetry_Int_Tables_number 163
_symmetry_space_group_name_Hall '-P 3 2c'
loop_
_atom_site_label
_atom_site_type_symbol
_atom_site_fract_x
_atom_site_fract_y
_atom_site_fract_z
Mn1 Mn 0.3333 0.6667 0.2500
In1 In 0.0000 0.0000 0.0000
Mo1 Mo 0.3333 0.6667 0.7500
F1 F 0.0066 0.3725 0.6544
```

E_tot = -0.205 hartree per atom
ρ = 3.77 Mg/m³
spin magnetization = 8.0 μB/f.u.

=====

A plane-wave DFT calculation with PBE with a Hubbard U was carried out for an optimized crystal structure of MnInNF2.

Structure (CIF):
```
data_MnInNF2
_cell_length_a 4.229
_cell_length_b 4.229
_cell_length_c 4.257
_cell_angle_alpha 90.00
_cell_angle_beta 90.00
_cell_angle_gamma 90.00
_symmetry_space_group_name_H-M 'P 4/m m m'
_symmetry_Int_Tables_number 123
_symmetry_space_group_name_Hall '-P 4 2'
loop_
_atom_site_label
_atom_site_type_symbol
_atom_site_fract_x
_atom_site_fract_y
_atom_site_fract_z
Mn1 Mn 0.000 0.000 0.000
In1 In 0.500 0.500 0.500
N1 N 0.500 0.500 0.000
F1 F 0.000 0.500 0.500
```

E_tot = -0.192 hartree per atom
ρ = 4.84 Mg/m³
spin magnetization = 5.0 μB/f.u.

=====

A plane-wave DFT calculation with PBE with a Hubbard U was carried out for an optimized crystal structure of MnInNF2.

Structure (CIF):
```
data_MnInNF2
_cell_length_a 4.026
_cell_length_b 4.026
_cell_length_c 4.224
_cell_angle_alpha 90.00
_cell_angle_beta 90.00
_cell_angle_gamma 90.00
_symmetry_space_group_name_H-M 'P 4/m m m'
_symmetry_Int_Tables_number 123
_symmetry_space_group_name_Hall '-P 4 2'
loop_
_atom_site_label
_atom_site_type_symbol
_atom_site_fract_x
_atom_site_fract_y
_atom_site_fract_z
Mn1 Mn 0.000 0.000 0.000
In1 In 0.500 0.500 0.500
N1 N 0.000 0.000 0.500
F1 F 0.000 0.500 0.000
```

E_tot = -0.200 hartree per atom
ρ = 5.38 Mg/m³
spin magnetization = 4.1 μB/f.u.